Entry 1:
Material: NbSb2SeI
Method: DFT, PBE
State: optimized geometry

CIF file:
```
data_NbSb2SeI
_space_group_name_H-M_alt 'P 4/m m m'
_space_group_IT_number 123
_space_group_name_Hall '-P 4 2'
_cell_length_a 5.451
_cell_length_b 5.451
_cell_length_c 5.227
_cell_angle_alpha 90.00
_cell_angle_beta 90.00
_cell_angle_gamma 90.00
loop_
_atom_site_label
_atom_site_fract_x
_atom_site_fract_y
_atom_site_fract_z
Nb1 0.000 0.000 0.000
Sb1 0.000 0.500 0.000
Se1 0.500 0.500 0.500
I1 0.000 0.000 0.500
```

Calculated values
DFT total energy (eV per atom): -4.227
Relative energy among the computed polymorphs (eV/atom): 0.0000
Formation energy from raw total energies (meV/atom): 443.1

***

Entry 2:
Material: NbSb2SeI
Method: DFT, PBE
State: optimized geometry

CIF file:
```
data_NbSb2SeI
_space_group_name_H-M_alt 'P 4/m m m'
_space_group_IT_number 123
_space_group_name_Hall '-P 4 2'
_cell_length_a 5.318
_cell_length_b 5.318
_cell_length_c 5.637
_cell_angle_alpha 90.00
_cell_angle_beta 90.00
_cell_angle_gamma 90.00
loop_
_atom_site_label
_atom_site_fract_x
_atom_site_fract_y
_atom_site_fract_z
Nb1 0.000 0.000 0.000
Sb1 0.000 0.500 0.500
Se1 0.500 0.500 0.500
I1 0.500 0.500 0.000
```

Calculated values
DFT total energy (eV per atom): -3.542
Relative energy among the computed polymorphs (eV/atom): 0.6847
Formation energy from raw total energies (meV/atom): 1127.8

***

Entry 3:
Material: NbSiSb2I
Method: DFT, PBE
State: optimized geometry

CIF file:
```
data_NbSiSb2I
_space_group_name_H-M_alt 'P 4/m m m'
_space_group_IT_number 123
_space_group_name_Hall '-P 4 2'
_cell_length_a 5.145
_cell_length_b 5.145
_cell_length_c 5.349
_cell_angle_alpha 90.00
_cell_angle_beta 90.00
_cell_angle_gamma 90.00
loop_
_atom_site_label
_atom_site_fract_x
_atom_site_fract_y
_atom_site_fract_z
Nb1 0.000 0.000 0.000
Si1 0.500 0.500 0.500
Sb1 0.000 0.500 0.500
I1 0.500 0.500 0.000
```

Calculated values
DFT total energy (eV per atom): -4.009
Relative energy among the computed polymorphs (eV/atom): 0.2164
Formation energy from raw total energies (meV/atom): 1048.1

***

Entry 4:
Material: NbSiSb2I
Method: DFT, PBE
State: optimized geometry

CIF file:
```
data_NbSiSb2I
_space_group_name_H-M_alt 'P 4/m m m'
_space_group_IT_number 123
_space_group_name_Hall '-P 4 2'
_cell_length_a 5.400
_cell_length_b 5.400
_cell_length_c 5.493
_cell_angle_alpha 90.00
_cell_angle_beta 90.00
_cell_angle_gamma 90.00
loop_
_atom_site_label
_atom_site_fract_x
_atom_site_fract_y
_atom_site_fract_z
Nb1 0.000 0.000 0.000
Si1 0.500 0.500 0.500
Sb1 0.000 0.500 0.000
I1 0.000 0.000 0.500
```

Calculated values
DFT total energy (eV per atom): -4.226
Relative energy among the computed polymorphs (eV/atom): 0.0000
Formation energy from raw total energies (meV/atom): 831.7

***

Entry 5:
Material: NbSnSbI2
Method: DFT, PBE
State: optimized geometry

CIF file:
```
data_NbSnSbI2
_space_group_name_H-M_alt 'P 4/m m m'
_space_group_IT_number 123
_space_group_name_Hall '-P 4 2'
_cell_length_a 5.526
_cell_length_b 5.526
_cell_length_c 5.597
_cell_angle_alpha 90.00
_cell_angle_beta 90.00
_cell_angle_gamma 90.00
loop_
_atom_site_label
_atom_site_fract_x
_atom_site_fract_y
_atom_site_fract_z
Nb1 0.000 0.000 0.000
Sn1 0.500 0.500 0.500
Sb1 0.000 0.000 0.500
I1 0.000 0.500 0.000
```

Calculated values
DFT total energy (eV per atom): -3.872
Relative energy among the computed polymorphs (eV/atom): 0.0000
Formation energy from raw total energies (meV/atom): 387.0

***

Entry 6:
Material: NbSnSbI2
Method: DFT, PBE
State: optimized geometry

CIF file:
```
data_NbSnSbI2
_space_group_name_H-M_alt 'P 4/m m m'
_space_group_IT_number 123
_space_group_name_Hall '-P 4 2'
_cell_length_a 5.827
_cell_length_b 5.827
_cell_length_c 5.832
_cell_angle_alpha 90.00
_cell_angle_beta 90.00
_cell_angle_gamma 90.00
loop_
_atom_site_label
_atom_site_fract_x
_atom_site_fract_y
_atom_site_fract_z
Nb1 0.000 0.000 0.000
Sn1 0.500 0.500 0.500
Sb1 0.500 0.500 0.000
I1 0.000 0.500 0.500
```

Calculated values
DFT total energy (eV per atom): -3.188
Relative energy among the computed polymorphs (eV/atom): 0.6842
Formation energy from raw total energies (meV/atom): 1071.3

***

Entry 7:
Material: SrNbSbI2
Method: DFT, PBE
State: optimized geometry

CIF file:
```
data_SrNbSbI2
_space_group_name_H-M_alt 'P 4/m m m'
_space_group_IT_number 123
_space_group_name_Hall '-P 4 2'
_cell_length_a 5.718
_cell_length_b 5.718
_cell_length_c 5.508
_cell_angle_alpha 90.00
_cell_angle_beta 90.00
_cell_angle_gamma 90.00
loop_
_atom_site_label
_atom_site_fract_x
_atom_site_fract_y
_atom_site_fract_z
Sr1 0.000 0.000 0.000
Nb1 0.500 0.500 0.500
Sb1 0.500 0.500 0.000
I1 0.000 0.500 0.500
```

Calculated values
DFT total energy (eV per atom): -4.050
Relative energy among the computed polymorphs (eV/atom): 0.0000
Formation energy from raw total energies (meV/atom): -254.8

***

Entry 8:
Material: SrNbSbI2
Method: DFT, PBE
State: optimized geometry

CIF file:
```
data_SrNbSbI2
_space_group_name_H-M_alt 'P 4/m m m'
_space_group_IT_number 123
_space_group_name_Hall '-P 4 2'
_cell_length_a 6.115
_cell_length_b 6.115
_cell_length_c 6.541
_cell_angle_alpha 90.00
_cell_angle_beta 90.00
_cell_angle_gamma 90.00
loop_
_atom_site_label
_atom_site_fract_x
_atom_site_fract_y
_atom_site_fract_z
Sr1 0.000 0.000 0.000
Nb1 0.500 0.500 0.500
Sb1 0.000 0.000 0.500
I1 0.000 0.500 0.000
```

Calculated values
DFT total energy (eV per atom): -3.119
Relative energy among the computed polymorphs (eV/atom): 0.9302
Formation energy from raw total energies (meV/atom): 675.4